Entry 1:
KBeTlBr4 | PBE | relaxed

a = 7.139 Å, b = 7.287 Å, c = 9.416 Å
α = 90.00°, β = 108.23°, γ = 90.00°
Positions (direct):
K (0.784, 0.750, 0.458)
K (0.216, 0.250, 0.542)
Be (0.201, 0.750, 0.286)
Be (0.799, 0.250, 0.714)
Tl (0.722, 0.750, 0.928)
Tl (0.278, 0.250, 0.072)
Br (0.997, 0.491, 0.771)
Br (0.003, 0.991, 0.229)
Br (0.003, 0.509, 0.229)
Br (0.997, 0.009, 0.771)
Br (0.403, 0.750, 0.153)
Br (0.597, 0.250, 0.847)
Br (0.349, 0.750, 0.529)
Br (0.651, 0.250, 0.471)

Values from the calculation:
Energy relative to the elements, uncorrected in eV/f.u.: -8.5
DFT total energy in eV/atom: -3.19

=====

Entry 2:
Sr4Cu2F | PBE | relaxed

a = 5.024 Å, b = 5.024 Å, c = 9.141 Å
α = 105.95°, β = 105.95°, γ = 90.00°
Positions (direct):
Sr (0.809, 0.809, 0.619)
Sr (0.191, 0.191, 0.381)
Sr (0.000, 0.500, 0.000)
Sr (0.500, 0.000, 0.000)
Cu (0.623, 0.623, 0.245)
Cu (0.377, 0.377, 0.755)
F (0.000, 0.000, 0.000)

Values from the calculation:
Energy relative to the elements, uncorrected in eV/f.u.: -5.1
DFT total energy in eV/atom: -3.12